# 1
Ac2SmY, relaxed, DFT PBE-GGA; relative energy among the computed polymorphs = 5.7 kJ/mol of atoms; energy of formation = 8.9 kJ per mole of atoms
1.0
0.000 4.264 4.264
4.264 0.000 4.264
4.264 4.264 0.000
Ac Sm Y
2 1 1
Direct
0.250 0.250 0.250
0.750 0.750 0.750
0.000 0.000 0.000
0.500 0.500 0.500



# 2
Ac6Sm2Y3, relaxed, DFT PBE-GGA; energy of formation = 17.5 kJ per mole of atoms
1.0
3.317 -5.731 0.000
3.317 5.731 0.000
-2.131 0.000 11.870
Ac Sm Y
6 2 3
Direct
0.085 0.418 0.748
0.246 0.246 0.255
0.418 0.085 0.748
0.582 0.915 0.252
0.754 0.754 0.745
0.915 0.582 0.252
0.331 0.669 0.500
0.669 0.331 0.500
0.166 0.834 0.000
0.500 0.500 0.000
0.834 0.166 0.000



# 3
Ac2Sm4Y5, relaxed, DFT PBE-GGA; relative energy among the computed polymorphs = 1.5 kJ/mol of atoms; energy of formation = 16.4 kJ per mole of atoms
1.0
12.360 -1.770 0.000
12.360 1.770 0.000
-0.902 0.000 8.914
Ac Sm Y
2 4 5
Direct
0.090 0.090 0.243
0.910 0.910 0.757
0.049 0.049 0.857
0.320 0.320 0.027
0.680 0.680 0.973
0.951 0.951 0.143
0.144 0.144 0.626
0.234 0.234 0.329
0.500 0.500 0.500
0.766 0.766 0.671
0.856 0.856 0.374



# 4
AcSm5Y3, relaxed, DFT PBE-GGA; relative energy among the computed polymorphs = 0.0 kJ/mol of atoms; energy of formation = 13.3 kJ per mole of atoms
1.0
-3.691 8.913 4.761
3.691 -8.913 4.761
3.691 8.913 -4.761
Ac Sm Y
2 10 6
Direct
0.362 0.112 0.250
0.638 0.888 0.750
0.156 0.331 0.341
0.156 0.815 0.825
0.279 0.529 0.750
0.490 0.331 0.675
0.490 0.815 0.159
0.510 0.185 0.841
0.510 0.669 0.325
0.721 0.471 0.250
0.844 0.185 0.175
0.844 0.669 0.659
0.000 0.000 0.500
0.000 0.500 0.000
0.175 0.245 0.930
0.185 0.755 0.430
0.815 0.245 0.570
0.825 0.755 0.070



# 5
Ac12Sm6Y, relaxed, DFT PBE-GGA; energy of formation = 24.3 kJ per mole of atoms
1.0
7.918 4.571 3.737
-7.918 4.571 3.737
0.000 -9.142 3.737
Ac Sm Y
12 6 1
Direct
0.124 0.828 0.271
0.172 0.729 0.876
0.190 0.583 0.484
0.271 0.124 0.828
0.417 0.516 0.810
0.484 0.190 0.583
0.516 0.810 0.417
0.583 0.484 0.190
0.729 0.876 0.172
0.810 0.417 0.516
0.828 0.271 0.124
0.876 0.172 0.729
0.080 0.191 0.457
0.191 0.457 0.080
0.457 0.080 0.191
0.543 0.920 0.809
0.809 0.543 0.920
0.920 0.809 0.543
0.000 0.000 0.000



# 6
Ac3SmY4, relaxed, DFT PBE-GGA; energy of formation = 15.4 kJ per mole of atoms
1.0
-1.831 6.058 6.757
1.831 -6.058 6.757
1.831 6.058 -6.757
Ac Sm Y
3 1 4
Direct
0.000 0.000 0.000
0.263 0.763 0.500
0.737 0.237 0.500
0.500 0.500 0.000
0.120 0.366 0.755
0.389 0.634 0.755
0.611 0.366 0.245
0.880 0.634 0.245



# 7
AcSm4Y, relaxed, DFT PBE-GGA; relative energy among the computed polymorphs = 0.0 kJ/mol of atoms; energy of formation = 3.0 kJ per mole of atoms
1.0
9.547 -1.852 0.000
9.547 1.852 0.000
-2.075 0.000 5.969
Ac Sm Y
1 4 1
Direct
0.000 0.000 0.000
0.168 0.168 0.501
0.330 0.330 0.998
0.670 0.670 0.002
0.832 0.832 0.499
0.500 0.500 0.500



# 8
Ac12SmY2, relaxed, DFT PBE-GGA; energy of formation = 41.0 kJ per mole of atoms
1.0
7.281 0.000 0.000
0.000 7.281 0.000
0.000 0.000 26.816
Ac Sm Y
24 2 4
Direct
0.000 0.000 0.099
0.000 0.000 0.901
0.000 0.500 0.099
0.000 0.500 0.901
0.079 0.579 0.437
0.079 0.921 0.563
0.250 0.250 0.197
0.250 0.250 0.327
0.250 0.250 0.673
0.250 0.250 0.803
0.421 0.579 0.563
0.421 0.921 0.437
0.500 0.000 0.099
0.500 0.000 0.901
0.500 0.500 0.099
0.500 0.500 0.901
0.579 0.079 0.563
0.579 0.421 0.437
0.750 0.750 0.197
0.750 0.750 0.327
0.750 0.750 0.673
0.750 0.750 0.803
0.921 0.079 0.437
0.921 0.421 0.563
0.250 0.750 0.000
0.750 0.250 0.000
0.250 0.750 0.220
0.250 0.750 0.780
0.750 0.250 0.220
0.750 0.250 0.780



# 9
AcSm5Y2, relaxed, DFT PBE-GGA; relative energy among the computed polymorphs = 0.0 kJ/mol of atoms; energy of formation = 2.7 kJ per mole of atoms
1.0
7.331 0.000 0.000
0.000 14.663 0.000
0.000 0.000 5.150
Ac Sm Y
2 10 4
Direct
0.000 0.000 0.000
0.500 0.500 0.000
0.000 0.500 0.000
0.001 0.253 0.000
0.246 0.627 0.500
0.254 0.127 0.500
0.499 0.753 0.000
0.500 0.000 0.000
0.501 0.247 0.000
0.746 0.873 0.500
0.754 0.373 0.500
0.999 0.747 0.000
0.248 0.373 0.500
0.252 0.873 0.500
0.748 0.127 0.500
0.752 0.627 0.500



# 10
Ac2Sm5Y6, relaxed, DFT PBE-GGA; energy of formation = 10.4 kJ per mole of atoms
1.0
12.050 0.000 0.000
0.000 20.669 0.000
0.000 0.000 3.673
Ac Sm Y
4 10 12
Direct
0.162 0.221 0.000
0.338 0.721 0.000
0.662 0.279 0.000
0.838 0.779 0.000
0.000 0.500 0.500
0.099 0.783 0.500
0.202 0.051 0.500
0.298 0.551 0.500
0.401 0.283 0.500
0.500 0.000 0.500
0.599 0.717 0.500
0.702 0.449 0.500
0.798 0.949 0.500
0.901 0.217 0.500
0.059 0.925 0.000
0.075 0.637 0.000
0.182 0.380 0.500
0.318 0.880 0.500
0.425 0.137 0.000
0.441 0.425 0.000
0.559 0.575 0.000
0.575 0.863 0.000
0.682 0.120 0.500
0.818 0.620 0.500
0.925 0.363 0.000
0.941 0.075 0.000



# 11
Ac2Sm3Y6, relaxed, DFT PBE-GGA; energy of formation = 17.6 kJ per mole of atoms
1.0
3.135 -5.437 0.000
3.135 5.437 0.000
-2.094 0.000 11.852
Ac Sm Y
2 3 6
Direct
0.167 0.833 0.000
0.833 0.167 0.000
0.000 0.000 0.500
0.336 0.664 0.500
0.664 0.336 0.500
0.082 0.414 0.742
0.254 0.254 0.258
0.414 0.082 0.742
0.586 0.918 0.258
0.746 0.746 0.742
0.918 0.586 0.258



# 12
Ac6Sm7Y16, relaxed, DFT PBE-GGA; energy of formation = 20.7 kJ per mole of atoms
1.0
0.000 8.159 8.159
8.159 0.000 8.159
8.159 8.159 0.000
Ac Sm Y
6 7 16
Direct
0.245 0.245 0.755
0.245 0.755 0.245
0.245 0.755 0.755
0.755 0.245 0.245
0.755 0.245 0.755
0.755 0.755 0.245
0.000 0.000 0.500
0.000 0.500 0.000
0.000 0.500 0.500
0.500 0.000 0.000
0.500 0.000 0.500
0.500 0.500 0.000
0.500 0.500 0.500
0.107 0.631 0.631
0.155 0.155 0.155
0.155 0.155 0.534
0.155 0.534 0.155
0.369 0.369 0.369
0.369 0.369 0.893
0.369 0.893 0.369
0.466 0.845 0.845
0.534 0.155 0.155
0.631 0.107 0.631
0.631 0.631 0.107
0.631 0.631 0.631
0.845 0.466 0.845
0.845 0.845 0.466
0.845 0.845 0.845
0.893 0.369 0.369



# 13
AcSm5Y7, relaxed, DFT PBE-GGA; energy of formation = 21.2 kJ per mole of atoms
1.0
-3.369 5.688 5.897
3.369 -5.688 5.897
3.369 5.688 -5.897
Ac Sm Y
1 5 7
Direct
0.000 0.000 0.000
0.027 0.027 0.468
0.027 0.559 0.999
0.286 0.786 0.500
0.560 0.027 0.001
0.560 0.559 0.532
0.216 0.541 0.674
0.312 0.312 0.000
0.381 0.043 0.338
0.610 0.610 0.000
0.705 0.043 0.662
0.790 0.290 0.500
0.867 0.541 0.326



# 14
AcSm4Y7, relaxed, DFT PBE-GGA; relative energy among the computed polymorphs = 0.0 kJ/mol of atoms; energy of formation = 1.5 kJ per mole of atoms
1.0
6.332 0.000 0.000
-0.023 7.323 0.000
-2.137 -0.008 8.759
Ac Sm Y
1 4 7
Direct
0.000 0.000 0.000
0.221 0.499 0.665
0.280 0.747 0.337
0.720 0.253 0.663
0.779 0.501 0.335
0.000 0.500 0.000
0.223 0.999 0.662
0.280 0.253 0.335
0.499 0.747 0.000
0.501 0.253 0.000
0.720 0.747 0.665
0.777 0.001 0.338



# 15
Ac2Sm5Y5, relaxed, DFT PBE-GGA; energy of formation = 3.5 kJ per mole of atoms
1.0
7.778 -2.599 0.000
7.778 2.599 0.000
-5.169 0.000 10.323
Ac Sm Y
2 5 5
Direct
0.082 0.082 0.248
0.918 0.918 0.752
0.334 0.334 0.499
0.413 0.413 0.249
0.500 0.500 0.000
0.587 0.587 0.751
0.666 0.666 0.501
0.000 0.000 0.500
0.170 0.170 0.001
0.247 0.247 0.749
0.753 0.753 0.251
0.830 0.830 0.999



# 16
Ac14SmY, relaxed, DFT PBE-GGA; energy of formation = 2.5 kJ per mole of atoms
1.0
11.216 0.000 0.000
0.000 5.578 5.577
0.000 -5.578 5.577
Ac Sm Y
14 1 1
Direct
0.000 0.000 0.000
0.000 0.000 0.501
0.000 0.500 0.500
0.000 0.501 0.000
0.255 0.250 0.250
0.256 0.250 0.750
0.256 0.750 0.250
0.257 0.750 0.750
0.500 0.001 0.500
0.500 0.500 0.001
0.743 0.750 0.750
0.744 0.250 0.750
0.744 0.750 0.250
0.745 0.250 0.250
0.500 0.500 0.500
0.500 0.000 0.000



# 17
AcSm6Y5, relaxed, DFT PBE-GGA; energy of formation = 2.6 kJ per mole of atoms
1.0
3.148 -5.453 0.000
3.148 5.453 0.000
-2.102 0.000 11.861
Ac Sm Y
1 6 5
Direct
0.000 0.000 0.000
0.084 0.420 0.254
0.251 0.251 0.745
0.420 0.084 0.254
0.580 0.916 0.746
0.749 0.749 0.255
0.916 0.580 0.746
0.167 0.833 0.500
0.333 0.667 0.000
0.500 0.500 0.500
0.667 0.333 0.000
0.833 0.167 0.500



# 18
AcSm4Y4, relaxed, DFT PBE-GGA; energy of formation = 2.9 kJ per mole of atoms
1.0
6.295 0.000 0.000
2.104 9.405 0.000
3.112 1.372 10.394
Ac Sm Y
2 8 8
Direct
0.249 0.083 0.277
0.751 0.917 0.723
0.248 0.419 0.055
0.250 0.746 0.836
0.253 0.747 0.165
0.257 0.745 0.499
0.743 0.255 0.501
0.747 0.253 0.835
0.750 0.254 0.164
0.752 0.581 0.945
0.245 0.086 0.942
0.247 0.088 0.613
0.248 0.420 0.390
0.250 0.417 0.721
0.750 0.583 0.279
0.752 0.580 0.610
0.753 0.912 0.387
0.755 0.914 0.058



Number 1: Fermi-level density of states 7.1 states/eV/f.u.. Number 2: Fermi-level density of states 13.5 states/eV/f.u.. Number 3: Fermi-level density of states 23.0 states/eV/f.u.. Number 4: Fermi-level density of states 13.1 states/eV/f.u.. Number 5: Fermi-level density of states 28.9 states/eV/f.u.. Number 6: Fermi-level density of states 14.2 states/eV/f.u.. Number 7: Fermi-level density of states 8.2 states/eV/f.u.. Number 8: Fermi-level density of states 19.9 states/eV/f.u.. Number 9: Fermi-level density of states 11.8 states/eV/f.u.. Number 10: Fermi-level density of states 19.4 states/eV/f.u.. Number 11: Fermi-level density of states 16.2 states/eV/f.u.. Number 12: Fermi-level density of states 46.3 states/eV/f.u.. Number 13: Fermi-level density of states 21.7 states/eV/f.u.. Number 14: Fermi-level density of states 19.1 states/eV/f.u.. Number 15: Fermi-level density of states 18.6 states/eV/f.u.. Number 16: Fermi-level density of states 29.1 states/eV/f.u.. Number 17: Fermi-level density of states 16.3 states/eV/f.u.. Number 18: Fermi-level density of states 13.8 states/eV/f.u..